[1]
Y2HgRh SCAN PBEsol geometry; final energy = -39.969 eV per atom; magnetic moment = 0.0 μB per cell; energy relative to the elements = -0.5629 eV/atom
1.0
4.258 0.000 0.000
0.000 4.258 0.000
-2.129 -2.129 4.669
Hg Rh Y
1 1 2
Cartesian
2.129 2.129 0.000
0.000 2.129 2.334
0.000 0.000 0.000
2.129 0.000 2.334



[2]
CaLa2Cd SCAN PBEsol geometry; final energy = -31.758 eV per atom; magnetic moment = 0.0 μB per cell; energy relative to the elements = -0.1864 eV/atom
1.0
-3.610 -0.268 -0.567
-0.753 -1.167 5.345
1.533 6.818 -1.149
Ca La Cd
1 2 1
Cartesian
-1.805 -0.134 -0.283
-2.461 1.911 2.923
-0.369 3.472 0.706
-0.376 -0.583 2.672



| no. | N(E_F) (states/eV/atom) |
| --- | --- |
| 1 | 0.61 |
| 2 | 0.94 |